1.
BaDy2AuSe4 | PBE-GGA | relaxed

The volume is 217 Å³/f.u. For the energy relative to the elements, uncorrected, the calculation gives -12.114 eV/f.u. Its total magnetic moment is 0.000 Bohr magnetons per cell. Its symmetry is Cmcm (63). The total energy comes out at -80.91 eV/cell.

a b c (Å): 4.248 7.361 14.510
angles (deg): 90.00 90.00 106.77
Positions (direct):
1 Dy 0.623 0.246 0.434
2 Dy 0.377 0.754 0.934
3 Dy 0.623 0.246 0.066
4 Dy 0.377 0.754 0.566
5 Se 0.734 0.469 0.605
6 Se 0.000 0.000 0.000
7 Se 0.266 0.531 0.105
8 Se 0.266 0.531 0.395
9 Se 0.538 0.076 0.250
10 Se 0.734 0.469 0.895
11 Se 0.000 0.000 0.500
12 Se 0.462 0.924 0.750
13 Au 0.147 0.295 0.250
14 Au 0.853 0.705 0.750
15 Ba 0.865 0.729 0.250
16 Ba 0.135 0.271 0.750

=====

2.
DyScAlPt | PBE-GGA | relaxed

The calculation puts the formation energy at -0.748 eV/atom. The volume is 82 Å³/f.u. Its total magnetic moment is 0.000 Bohr magnetons per cell. Its symmetry is F-43m (216). The total energy comes out at -23.71 eV/cell.

a b c (Å): 4.885 4.885 4.885
angles (deg): 60.00 60.00 60.00
Positions (direct):
1 Al 0.250 0.250 0.250
2 Dy 0.000 0.000 0.000
3 Sc 0.500 0.500 0.500
4 Pt 0.750 0.750 0.750

=====

3.
AcCdPtAu | PBE-GGA | relaxed

The calculation puts the formation energy at -0.655 eV/atom. The volume is 97 Å³/f.u. Its total magnetic moment is 0.000 Bohr magnetons per cell. Its symmetry is F-43m (216). The energy above the most stable polymorph in this dataset comes out at 79 meV per atom. The total energy comes out at -16.96 eV/cell.

a b c (Å): 5.161 5.161 5.161
angles (deg): 60.00 60.00 60.00
Positions (direct):
1 Cd 0.500 0.500 0.500
2 Pt 0.750 0.750 0.750
3 Ac 0.000 0.000 0.000
4 Au 0.250 0.250 0.250

=====

4.
CuRhAu2 | PBE-GGA | relaxed

The calculation puts the formation energy at 0.089 eV/atom. The volume is 63 Å³/f.u. Its total magnetic moment is 0.235 Bohr magnetons per cell. Its symmetry is Cm (8). The energy above the most stable polymorph in this dataset comes out at 26 meV per atom. The total energy comes out at -17.65 eV/cell.

a b c (Å): 4.898 4.898 4.832
angles (deg): 78.53 78.53 33.67
Positions (direct):
1 Au 0.996 0.996 0.014
2 Au 0.757 0.757 0.736
3 Cu 0.505 0.505 0.498
4 Rh 0.243 0.243 0.253